Record 1
Crystalline FeSiP2 at its relaxed geometry. Source: Alexandria via LeMat-Bulk, functional PBE.

Computed properties:
space group: R3m (160)
formation energy (no corrections): 9.4 kJ/mol of atoms

a b c (Å): 6.8033 6.8033 6.8033
angles (deg): 25.70 25.70 25.70
Last column: nearest neighbours and their distance in Å.
Atoms (fractional coordinates):
Fe  0.7453  0.7453  0.7453  3 P 2.26, 3 Si 2.45
P  0.0056  0.0056  0.0056  3 Fe 2.26, 3 P 2.48
P  0.2498  0.2498  0.2498  3 Si 2.41, 3 P 2.48
Si  0.4992  0.4992  0.4992  3 P 2.41, 3 Fe 2.45


Record 2
Crystalline TaAs2P at its relaxed geometry. Source: Alexandria via LeMat-Bulk, functional PBE.

Computed properties:
formation energy from the elements: 0.169 eV per atom
space group: Cmm2 (35)

a b c (Å): 2.8807 2.8807 9.2477
angles (deg): 90.00 90.00 103.44
Last column: nearest neighbours and their distance in Å.
Atoms (fractional coordinates):
As  0.0000  0.0000  0.9588  2 Ta 2.72, 4 As 2.88
As  0.5000  0.5000  0.2613  4 As 2.88, 2 P 3.15
P  0.0000  0.0000  0.5425  2 Ta 2.54
Ta  0.5000  0.5000  0.7374  2 P 2.54, 2 As 2.72


Record 3
Crystalline CeAg2Bi at its relaxed geometry. Source: Alexandria via LeMat-Bulk, functional PBE.

Computed properties:
formation energy from the elements: -0.222 eV per atom
space group: P4/mmm (123)

a b c (Å): 4.8944 4.5223 4.5223
angles (deg): 90.00 90.00 90.00
Last column: nearest neighbours and their distance in Å.
Atoms (fractional coordinates):
Ag  0.0000  0.0000  0.5000  4 Ag 3.20, 4 Bi 3.33, 4 Ce 3.33
Ag  0.0000  0.5000  0.0000  4 Ag 3.20, 4 Bi 3.33, 4 Ce 3.33
Bi  0.5000  0.5000  0.5000  4 Ce 3.20, 8 Ag 3.33
Ce  0.5000  0.0000  0.0000  4 Bi 3.20, 8 Ag 3.33


Record 4
Crystalline La2ErI at its relaxed geometry. Source: Alexandria via LeMat-Bulk, functional PBE.

Computed properties:
distance to the lowest polymorph of the same formula: 0.2284 eV/atom
space group: R-3m (166)
formation energy (no corrections): -18.6 kJ/mol of atoms

a b c (Å): 3.6759 3.6759 12.0270
angles (deg): 81.21 81.21 60.00
Last column: nearest neighbours and their distance in Å.
Atoms (fractional coordinates):
I  0.5000  0.5000  0.5000  6 La 3.36, 6 I 3.68
La  0.0932  0.0932  0.7204  1 Er 3.31, 3 I 3.36, 6 La 3.68
La  0.9068  0.9068  0.2796  1 Er 3.31, 3 I 3.36, 6 La 3.68
Er  0.0000  0.0000  0.0000  2 La 3.31, 6 Er 3.68


In μB/cell, the magnetization values for the records above are, in order, 0.73, 0.00, 0.90, 0.00.
In states/eV per atom, the density of states at the Fermi level values for the records above are, in order, 0.6599, 0.6825, 1.8040, 1.4257.